## K4Bi2O5 (PBE)

Data for a geometry-optimized K4Bi2O5 structure.

The structure belongs to space group Cm (No. 8); the cell edges are 9.8155, 6.7180 and 8.0432 Å and the angles 90.00°, 99.05° and 90.00°. Symmetry generates all atoms from K at (0.0000, 0.0000, 0.0000), K at (0.0094, 0.0000, 0.4942), K at (0.1695, 0.5000, 0.6290), K at (0.3398, 0.0000, 0.3608), Bi at (0.1644, 0.5000, 0.1825), Bi at (0.3642, 0.0000, 0.8213), O at (0.0556, 0.2643, 0.2608), O at (0.0829, 0.5000, 0.9199) and O at (0.3749, 0.2318, 0.6568).

The electronic total energy is -103.18 eV for the cell shown. The calculation puts the calculated volume at 23.81 A^3/atom. For the formation energy without anion corrections, the calculation gives -1.33 eV/atom. The crystal system is monoclinic.